No. 1
DFT (PBE) results for a relaxed La2Ni12Ge3Ir crystal.

Cell: 6.408 6.408 6.408 Å, 84.41 84.41 84.41°
Fractional positions:
La  0.331  0.331  0.331
Ge  0.000  0.500  0.000
Ge  0.500  0.000  0.000
Ge  0.000  0.000  0.500
Ni  0.892  0.393  0.393
Ni  0.290  0.805  0.805
Ni  0.108  0.607  0.607
Ir  0.000  0.000  0.000
Ni  0.393  0.393  0.892
La  0.669  0.669  0.669
Ni  0.607  0.607  0.108
Ni  0.195  0.195  0.710
Ni  0.607  0.108  0.607
Ni  0.805  0.290  0.805
Ni  0.805  0.805  0.290
Ni  0.710  0.195  0.195
Ni  0.393  0.892  0.393
Ni  0.195  0.710  0.195

Computed properties:
calculated volume	14.42	Å³ per atom
formation enthalpy at 0 K	33.8	meV per atom



No. 2
DFT (PBE) results for a relaxed LaNiGe2Ir crystal.

Cell: 4.214 4.214 6.014 Å, 110.51 110.51 90.00°
Fractional positions:
Ge  0.629  0.629  0.259
La  0.000  0.000  0.000
Ni  0.250  0.750  0.500
Ge  0.371  0.371  0.741
Ir  0.750  0.250  0.500

Computed properties:
calculated volume	18.55	Å³ per atom
formation enthalpy at 0 K	-693.7	meV per atom



No. 3
DFT (PBE) results for a relaxed La2NpGe4Ir3 crystal.

Cell: 4.308 4.308 11.254 Å, 90.00 90.00 90.00°
Fractional positions:
Ge  0.000  0.000  0.000
Ir  0.000  0.500  0.113
Ge  0.500  0.500  0.000
Ge  0.000  0.500  0.331
Ir  0.500  0.000  0.887
Np  0.500  0.500  0.500
Ir  0.000  0.000  0.500
Ge  0.500  0.000  0.669
La  0.000  0.500  0.769
La  0.500  0.000  0.231

Computed properties:
calculated volume	20.89	Å³ per atom
formation enthalpy at 0 K	-611.5	meV per atom



No. 4
DFT (PBE) results for a relaxed LaGeIrO crystal.

Cell: 4.155 4.155 8.661 Å, 90.00 90.00 90.00°
Fractional positions:
Ge  0.000  0.500  0.844
O  0.000  0.000  0.500
Ge  0.500  0.000  0.156
La  0.000  0.500  0.363
Ir  0.500  0.500  0.000
O  0.500  0.500  0.500
Ir  0.000  0.000  0.000
La  0.500  0.000  0.637

Computed properties:
calculated volume	18.69	Å³ per atom
E	-7.70	eV per atom



Look up the calculated volume of the first one. 14.42 Å³ per atom